VASP calculation (PBE-GGA) on a relaxed structure of Al2MoOsN.

The structure in POSCAR format:
```
Al2MoOsN
1.0
4.660 0.000 0.000
0.000 4.660 0.000
0.000 0.000 4.734
Al Mo Os N
2 1 1 1
direct
0.000 0.500 0.000 Al
0.500 0.000 0.000 Al
0.000 0.000 0.500 Mo
0.000 0.000 0.000 Os
0.500 0.500 0.500 N
```

Calculated values
The total energy is -29.8 eV for the cell shown. The uncorrected formation energy comes out at 1.620 eV per atom. For the calculated density, the calculation gives 5.719 g cm⁻³. For the density of states at the Fermi level, the calculation gives 0.672 states/eV/atom. Its symmetry is No. 123.

=====

VASP calculation (PBE-GGA) on a relaxed structure of Al2MoPN.

The structure in POSCAR format:
```
Al2MoPN
1.0
4.518 0.000 0.000
0.000 4.518 0.000
0.000 0.000 4.430
Al Mo P N
2 1 1 1
direct
0.000 0.500 0.000 Al
0.500 0.000 0.000 Al
0.000 0.000 0.500 Mo
0.000 0.000 0.000 P
0.500 0.500 0.500 N
```

Calculated values
The total energy is -24.7 eV for the cell shown. The uncorrected formation energy comes out at 1.476 eV per atom. For the calculated density, the calculation gives 3.578 g cm⁻³. For the density of states at the Fermi level, the calculation gives 0.642 states/eV/atom. Its symmetry is No. 123.